Entry 1:
A plane-wave DFT calculation with PBE was carried out for SrTbPm4 after structural relaxation.

- ρ: 6.0 g/cm³
- Energy relative to the elements: 0.24 eV per atom

a b c (Å): 6.8527 6.8527 6.8527
angles (deg): 60.00 60.00 60.00
Last column: nearest neighbours and their distance in Å.
Atoms (fractional coordinates):
1 Pm 0.6281 0.6281 0.6281  6 Pm 3.34-3.51
2 Pm 0.6281 0.6281 0.1158  6 Pm 3.34-3.51
3 Sr 0.2500 0.2500 0.2500  12 Pm 4.03, 4 Tb 4.20
4 Pm 0.1158 0.6281 0.6281  6 Pm 3.34-3.51
5 Tb 0.0000 0.0000 0.0000  12 Pm 4.01, 4 Sr 4.20
6 Pm 0.6281 0.1158 0.6281  6 Pm 3.34-3.51

=====

Entry 2:
A plane-wave DFT calculation with PBE was carried out for CeHgN after structural relaxation.

- Formation energy (no corrections): -718 meV/atom
- ρ: 8.5 g/cm³
- Offset from the most stable computed form: 313.7 meV/atom

a b c (Å): 5.4711 3.8351 3.8351
angles (deg): 120.00 90.00 90.00
Last column: nearest neighbours and their distance in Å.
Atoms (fractional coordinates):
1 N 0.1979 0.3333 0.6667  3 Ce 2.24
2 Ce 0.1406 0.0000 0.0000  3 N 2.24
3 Hg 0.6615 0.6667 0.3333  6 N 3.37-3.68, 6 Ce 3.43-3.61

=====

Entry 3:
A plane-wave DFT calculation with PBE was carried out for BH2WN after structural relaxation.

- ρ: 7.3 g/cm³
- Final energy: -5.1964 eV/atom

a b c (Å): 3.3270 4.3303 3.3270
angles (deg): 90.00 90.00 90.00
Last column: nearest neighbours and their distance in Å.
Atoms (fractional coordinates):
1 H 0.0000 0.0000 0.5000  2 W 1.66
2 H 0.5000 0.0000 0.0000  2 W 1.66
3 B 0.0000 0.5000 0.0000  2 W 2.17, 4 N 2.35
4 N 0.5000 0.5000 0.5000  4 B 2.35
5 W 0.0000 0.0000 0.0000  4 H 1.66

=====

Entry 4:
A plane-wave DFT calculation with PBE was carried out for Li2TlMo after structural relaxation.

- ρ: 7.9 g/cm³
- Offset from the most stable computed form: 120.5 meV/atom
- Energy relative to the elements: 0.48 eV per atom

a b c (Å): 4.5331 4.5331 4.5331
angles (deg): 60.00 60.00 60.00
Last column: nearest neighbours and their distance in Å.
Atoms (fractional coordinates):
1 Mo 0.0000 0.0000 0.0000  8 Li 2.78
2 Li 0.7500 0.7500 0.7500  4 Tl 2.78, 4 Mo 2.78
3 Li 0.2500 0.2500 0.2500  4 Tl 2.78, 4 Mo 2.78
4 Tl 0.5000 0.5000 0.5000  8 Li 2.78

=====

Entry 5:
A plane-wave DFT calculation with PBE was carried out for Sm5Tm4In after structural relaxation.

- ρ: 8.2 g/cm³
- Offset from the most stable computed form: 0.0 meV/atom
- Energy relative to the elements: -0.07 eV per atom

a b c (Å): 3.5757 3.5757 24.4634
angles (deg): 90.00 90.00 90.00
Last column: nearest neighbours and their distance in Å.
Atoms (fractional coordinates):
1 Sm 0.5000 0.5000 0.0892  4 In 3.34, 4 Sm 3.58, 4 Tm 3.60
2 Sm 0.5000 0.5000 0.9108  4 In 3.34, 4 Sm 3.58, 4 Tm 3.60
3 Tm 0.0000 0.0000 0.8061  8 Sm 3.55-3.60, 4 Tm 3.58
4 Sm 0.5000 0.5000 0.7042  8 Tm 3.55-3.56, 4 Sm 3.58
5 Sm 0.5000 0.5000 0.5000  8 Tm 3.55, 4 Sm 3.58
6 Tm 0.0000 0.0000 0.6020  8 Sm 3.55-3.56, 4 Tm 3.58
7 Tm 0.0000 0.0000 0.1939  8 Sm 3.55-3.60, 4 Tm 3.58
8 In 0.0000 0.0000 0.0000  8 Sm 3.34, 4 In 3.58
9 Tm 0.0000 0.0000 0.3980  8 Sm 3.55-3.56, 4 Tm 3.58
10 Sm 0.5000 0.5000 0.2958  8 Tm 3.55-3.56, 4 Sm 3.58

=====

Entry 6:
A plane-wave DFT calculation with PBE was carried out for La3Dy6Th after structural relaxation.

- ρ: 8.0 g/cm³
- Energy relative to the elements: 0.31 eV per atom

a b c (Å): 9.9610 9.9610 6.9668
angles (deg): 44.37 44.37 60.00
Last column: nearest neighbours and their distance in Å.
Atoms (fractional coordinates):
1 Dy 0.0707 0.3988 0.8009  3 La 3.28-3.51
2 Dy 0.3988 0.7296 0.8009  3 La 3.28-3.51
3 La 0.3995 0.3995 0.8014  2 La 2.85-2.87
4 Dy 0.7296 0.0707 0.8009  3 La 3.28-3.51
5 La 0.6432 0.6432 0.0703  1 La 2.87, 1 Th 3.01
6 La 0.1579 0.1579 0.5263  1 La 2.85, 1 Th 3.07
7 Dy 0.5775 0.2246 0.2979  1 Th 3.22, 2 La 3.48-3.49
8 Th 0.8981 0.8981 0.3058  2 La 3.01-3.07, 3 Dy 3.22
9 Dy 0.9001 0.5775 0.2979  1 Th 3.22, 2 La 3.48-3.49
10 Dy 0.2246 0.9001 0.2979  1 Th 3.22, 2 La 3.48-3.49